Record 1
## AlFe2Ru (PBE)

Data for an optimized crystal structure of AlFe2Ru.

Cell lengths 6.756, 6.756, 5.389 Å; angles 51.18, 51.18, 90.00 degrees
Site moments in Bohr magnetons follow the coordinates.
Fractional coordinates of all 8 atoms:
Fe1 0.115 0.625 0.250  2.37
Fe2 0.635 0.125 0.250  2.39
Fe3 0.375 0.365 0.750  2.40
Fe4 0.875 0.885 0.750  2.38
Ru1 0.000 0.000 0.000  0.35
Ru2 0.750 0.250 0.500  0.35
Al1 0.500 0.500 0.000  -0.03
Al2 0.250 0.750 0.500  -0.03

calculated total energy: -7.088 eV per atom
space group: No. 122
magnetic moment: 1.288 μB/atom
formation energy: 38.4 kJ/mol of atoms

Record 2
## BaGeAs2Pt (PBE)

Data for an optimized crystal structure of BaGeAs2Pt.

Cell lengths 4.848, 6.390, 4.848 Å; angles 90.00, 90.00, 90.00 degrees
Fractional coordinates of all 5 atoms:
Pt1 0.500 0.500 0.500
As1 0.000 0.000 0.500
As2 0.500 0.000 0.000
Ba1 0.000 0.500 0.000
Ge1 0.000 0.000 0.000

calculated total energy: -3.900 eV per atom
space group: No. 123
magnetic moment: 0.000 μB/atom
formation energy: 45.9 kJ/mol of atoms

Record 3
## K2ScIrO6 (PBE)

Data for an optimized crystal structure of K2ScIrO6.

Cell lengths 5.704, 5.704, 5.704 Å; angles 60.00, 60.00, 60.00 degrees
Fractional coordinates of all 10 atoms:
Ir1 0.000 0.000 0.000
O1 0.238 0.238 0.762
O2 0.762 0.238 0.238
O3 0.762 0.762 0.238
O4 0.762 0.238 0.762
O5 0.238 0.762 0.238
O6 0.238 0.762 0.762
K1 0.750 0.750 0.750
K2 0.250 0.250 0.250
Sc1 0.500 0.500 0.500

calculated total energy: -6.403 eV per atom
space group: No. 225
formation energy from raw total energies: -1.689 eV per atom
magnetic moment: 0.000 μB/atom

Record 4
## Na2CdIn2 (PBE)

Data for an optimized crystal structure of Na2CdIn2.

Cell lengths 4.293, 4.293, 8.244 Å; angles 74.91, 74.91, 90.00 degrees
Fractional coordinates of all 5 atoms:
Na1 0.750 0.250 0.500
Na2 0.250 0.750 0.500
In1 0.407 0.407 0.186
In2 0.593 0.593 0.814
Cd1 0.000 0.000 0.000

calculated total energy: -1.733 eV per atom
space group: No. 139
magnetic moment: 0.000 μB/atom
formation energy: 7.1 kJ/mol of atoms